# 1
MnBe2Zn | PBE | relaxed

Properties
DFT formation energy = 33 meV per atom
Total DFT energy (no corrections) = -4.441 eV per atom
Crystal system = orthorhombic

abc: 3.6414 4.6896 4.6896
angles: 31.74 90.00 90.00
Closest atoms and distances in Å follow each position.
Atoms (fractional coordinates):
Mn 0.0000 0.0000 0.0000  7 Be 2.39-2.47, 2 Mn 2.56
Be 0.0000 0.2733 0.2733  2 Be 2.17, 2 Mn 2.41, 4 Zn 2.42
Be 0.5000 0.4049 0.4049  2 Be 2.17, 1 Zn 2.37, 4 Mn 2.39
Zn 0.5000 0.6672 0.6672  7 Be 2.37-2.50, 2 Zn 2.56

=====

# 2
TaRhAu2 | PBE | relaxed

Properties
DFT formation energy = 127 meV per atom
Distance to the lowest polymorph of the same formula = 352 meV/atom
Total DFT energy (no corrections) = -6.313 eV per atom
Crystal system = trigonal

abc: 9.5202 9.5202 9.5202
angles: 17.49 17.49 17.49
Closest atoms and distances in Å follow each position.
Atoms (fractional coordinates):
Ta 0.0000 0.0000 0.0000  6 Ta 2.89, 6 Au 2.90
Rh 0.5000 0.5000 0.5000  6 Au 2.85, 6 Rh 2.89
Au 0.2490 0.2490 0.2490  3 Rh 2.85, 6 Au 2.89, 3 Ta 2.90
Au 0.7510 0.7510 0.7510  3 Rh 2.85, 6 Au 2.89, 3 Ta 2.90

=====

# 3
Tb4CdPd12 | PBE | relaxed

Properties
DFT formation energy = -780 meV per atom
Total DFT energy (no corrections) = -5.589 eV per atom
Crystal system = cubic

abc: 7.4163 7.4163 7.4163
angles: 109.47 109.47 109.47
Closest atoms and distances in Å follow each position.
Atoms (fractional coordinates):
Tb 0.0000 0.0000 0.5000  12 Pd 3.03-3.06
Tb 0.0000 0.5000 0.0000  12 Pd 3.03-3.06
Tb 0.5000 0.0000 0.0000  12 Pd 3.03-3.06
Tb 0.5000 0.5000 0.5000  12 Pd 3.03-3.06
Cd 0.0000 0.0000 0.0000  6 Pd 2.59
Pd 0.0000 0.3021 0.3021  1 Cd 2.59, 4 Pd 2.73
Pd 0.0000 0.6979 0.6979  1 Cd 2.59, 4 Pd 2.73
Pd 0.2500 0.5000 0.7500  8 Pd 2.73-3.03, 4 Tb 3.03
Pd 0.2500 0.7500 0.5000  8 Pd 2.73-3.03, 4 Tb 3.03
Pd 0.3021 0.0000 0.3021  1 Cd 2.59, 4 Pd 2.73
Pd 0.3021 0.3021 0.0000  1 Cd 2.59, 4 Pd 2.73
Pd 0.5000 0.2500 0.7500  8 Pd 2.73-3.03, 4 Tb 3.03
Pd 0.5000 0.7500 0.2500  8 Pd 2.73-3.03, 4 Tb 3.03
Pd 0.6979 0.0000 0.6979  1 Cd 2.59, 4 Pd 2.73
Pd 0.6979 0.6979 0.0000  1 Cd 2.59, 4 Pd 2.73
Pd 0.7500 0.2500 0.5000  8 Pd 2.73-3.03, 4 Tb 3.03
Pd 0.7500 0.5000 0.2500  8 Pd 2.73-3.03, 4 Tb 3.03

=====

# 4
U2CrGa | PBE | relaxed

Properties
DFT formation energy = 444 meV per atom
Total DFT energy (no corrections) = -8.363 eV per atom
Crystal system = trigonal

abc: 10.5237 10.5237 10.5237
angles: 15.86 15.86 15.86
Closest atoms and distances in Å follow each position.
Atoms (fractional coordinates):
U 0.0962 0.0962 0.0962  3 Cr 2.76, 6 U 2.90, 1 Ga 3.00
U 0.9038 0.9038 0.9038  3 Cr 2.76, 6 U 2.90, 1 Ga 3.00
Cr 0.5000 0.5000 0.5000  6 U 2.76, 6 Cr 2.90
Ga 0.0000 0.0000 0.0000  6 Ga 2.90, 2 U 3.00

=====

# 5
Pr2NdHg8 | PBE | relaxed

Properties
DFT formation energy = -352 meV per atom
Distance to the lowest polymorph of the same formula = 12 meV/atom
Total DFT energy (no corrections) = -1.873 eV per atom
Crystal system = orthorhombic

abc: 8.7791 8.7791 8.7791
angles: 145.05 129.66 62.75
Closest atoms and distances in Å follow each position.
Atoms (fractional coordinates):
Pr 0.1916 0.1916 0.0000  10 Hg 3.15-3.47
Pr 0.8084 0.8084 0.0000  10 Hg 3.15-3.47
Nd 0.5000 0.5000 0.0000  8 Hg 3.08-3.40
Hg 0.0650 0.3531 0.7120  1 Nd 3.08, 3 Pr 3.15-3.24, 6 Hg 3.17-3.44
Hg 0.2134 0.0000 0.2134  7 Hg 3.19-3.44, 2 Pr 3.29, 2 Nd 3.40
Hg 0.3425 0.8425 0.5000  8 Hg 3.19-3.41, 2 Pr 3.47, 2 Nd 3.54
Hg 0.3589 0.6469 0.7120  1 Nd 3.08, 3 Pr 3.15-3.24, 6 Hg 3.17-3.44
Hg 0.6411 0.3531 0.2880  1 Nd 3.08, 3 Pr 3.15-3.24, 6 Hg 3.17-3.44
Hg 0.6575 0.1575 0.5000  8 Hg 3.19-3.41, 2 Pr 3.47, 2 Nd 3.54
Hg 0.7866 0.0000 0.7866  7 Hg 3.19-3.44, 2 Pr 3.29, 2 Nd 3.40
Hg 0.9350 0.6469 0.2880  1 Nd 3.08, 3 Pr 3.15-3.24, 6 Hg 3.17-3.44

=====

# 6
Ti4ZnOs | PBE | relaxed

Properties
DFT formation energy = -318 meV per atom
Total DFT energy (no corrections) = -7.665 eV per atom
Crystal system = monoclinic

abc: 5.4243 5.4243 6.1641
angles: 106.77 106.77 33.28
Closest atoms and distances in Å follow each position.
Atoms (fractional coordinates):
Ti 0.1587 0.1587 0.3206  2 Os 2.66, 2 Zn 2.73, 4 Ti 2.82-2.89
Ti 0.1608 0.1608 0.8368  2 Os 2.69, 2 Zn 2.73, 5 Ti 2.77-2.99
Ti 0.8392 0.8392 0.1632  2 Os 2.69, 2 Zn 2.73, 5 Ti 2.77-2.99
Ti 0.8413 0.8413 0.6794  2 Os 2.66, 2 Zn 2.73, 4 Ti 2.82-2.89
Zn 0.5000 0.5000 0.5000  8 Ti 2.73
Os 0.5000 0.5000 0.0000  8 Ti 2.66-2.69

=====

# 7
MnBe2As | PBE | relaxed

Properties
DFT formation energy = 258 meV per atom
Total DFT energy (no corrections) = -5.060 eV per atom
Crystal system = tetragonal

abc: 2.6190 2.6190 7.8559
angles: 90.00 90.00 90.00
Closest atoms and distances in Å follow each position.
Atoms (fractional coordinates):
Mn 0.0000 0.0000 0.0000  5 Be 2.39-2.63, 4 Mn 2.62, 4 As 2.64
Be 0.0000 0.0000 0.6649  4 Be 2.16
Be 0.5000 0.5000 0.8070  4 Be 2.16, 4 Mn 2.39
As 0.5000 0.5000 0.2394  4 As 2.62, 4 Mn 2.64

=====

# 8
Pr2Al3Zn4 | PBE | relaxed

Properties
DFT formation energy = -317 meV per atom
Total DFT energy (no corrections) = -3.192 eV per atom
Crystal system = orthorhombic

abc: 8.3429 8.3429 7.8591
angles: 90.00 90.00 138.72
Closest atoms and distances in Å follow each position.
Atoms (fractional coordinates):
Pr 0.1069 0.8931 0.9027  8 Zn 3.17-3.50, 4 Al 3.18-3.47
Pr 0.3931 0.6069 0.4027  8 Zn 3.17-3.50, 4 Al 3.18-3.47
Pr 0.6069 0.3931 0.5973  8 Zn 3.17-3.50, 4 Al 3.18-3.47
Pr 0.8931 0.1069 0.0973  8 Zn 3.17-3.50, 4 Al 3.18-3.47
Al 0.0000 0.0000 0.5000  6 Zn 2.65-2.76
Al 0.0206 0.4794 0.7500  5 Zn 2.58-2.78
Al 0.4794 0.0206 0.2500  5 Zn 2.58-2.78
Al 0.5000 0.5000 0.0000  6 Zn 2.65-2.76
Al 0.5206 0.9794 0.7500  5 Zn 2.58-2.78
Al 0.9794 0.5206 0.2500  5 Zn 2.58-2.78
Zn 0.1764 0.8236 0.5152  5 Al 2.68-2.78
Zn 0.1856 0.3144 0.7500  3 Al 2.58-2.65
Zn 0.3144 0.1856 0.2500  3 Al 2.58-2.65
Zn 0.3236 0.6764 0.0152  5 Al 2.68-2.78
Zn 0.6764 0.3236 0.9848  5 Al 2.68-2.78
Zn 0.6856 0.8144 0.7500  3 Al 2.58-2.65
Zn 0.8144 0.6856 0.2500  3 Al 2.58-2.65
Zn 0.8236 0.1764 0.4848  5 Al 2.68-2.78

=====

# 9
BaMg2H7 | PBE | relaxed

Properties
Total DFT energy (no corrections) = -2.943 eV per atom
Crystal system = orthorhombic

abc: 5.8935 5.8935 3.9283
angles: 90.00 90.00 121.14
Closest atoms and distances in Å follow each position.
Atoms (fractional coordinates):
Ba 0.0000 0.0000 0.0000  10 H 2.64-2.90
Mg 0.2997 0.7003 0.5000  7 H 1.92-2.06
Mg 0.7003 0.2997 0.5000  7 H 1.92-2.06
H 0.0565 0.3240 0.5000  2 Mg 1.92-2.03
H 0.2822 0.7178 0.0000  2 Mg 1.97
H 0.3240 0.0565 0.5000  2 Mg 1.92-2.03
H 0.5000 0.5000 0.5000  2 Mg 2.06, 4 H 2.26
H 0.6760 0.9435 0.5000  2 Mg 1.92-2.03
H 0.7178 0.2822 0.0000  2 Mg 1.97
H 0.9435 0.6760 0.5000  2 Mg 1.92-2.03

=====

# 10
MnTlAu2 | PBE | relaxed

Properties
DFT formation energy = 133 meV per atom
Distance to the lowest polymorph of the same formula = 111 meV/atom
Total DFT energy (no corrections) = -4.389 eV per atom
Crystal system = orthorhombic

abc: 5.0391 5.0391 5.0391
angles: 128.15 127.71 76.74
Closest atoms and distances in Å follow each position.
Atoms (fractional coordinates):
Mn 0.0000 0.0000 0.0000  8 Au 2.96-2.97, 4 Tl 3.13
Tl 0.5000 0.5000 0.0000  8 Au 2.96-2.97, 4 Mn 3.13
Au 0.2495 0.7495 0.5000  4 Mn 2.96-2.97, 4 Tl 2.96-2.97, 4 Au 3.13
Au 0.7505 0.2505 0.5000  4 Mn 2.96-2.97, 4 Tl 2.96-2.97, 4 Au 3.13

=====

# 11
RbInSn2 | PBE | relaxed

Properties
DFT formation energy = 59 meV per atom
Total DFT energy (no corrections) = -2.869 eV per atom
Crystal system = tetragonal

abc: 11.0660 11.0660 11.0660
angles: 149.68 149.68 43.41
Closest atoms and distances in Å follow each position.
Atoms (fractional coordinates):
Rb 0.0000 0.0000 0.0000  4 Sn 3.87, 4 In 4.09
Rb 0.7500 0.2500 0.5000  4 Sn 3.87, 4 In 4.09
In 0.2500 0.7500 0.5000  4 Sn 2.97
In 0.5000 0.5000 0.0000  4 Sn 2.97
Sn 0.3082 0.6250 0.1832  2 In 2.97, 2 Sn 3.00
Sn 0.3750 0.5582 0.6832  2 In 2.97, 2 Sn 3.00
Sn 0.4418 0.1250 0.8168  2 In 2.97, 2 Sn 3.00
Sn 0.8750 0.6918 0.3168  2 In 2.97, 2 Sn 3.00

=====

# 12
Rb2VCoS4 | PBE | relaxed

Properties
Total DFT energy (no corrections) = -5.352 eV per atom
Raw formation energy = -1.0185 eV/atom
Crystal system = orthorhombic

abc: 13.8051 12.3486 7.2719
angles: 85.28 63.06 31.67
Closest atoms and distances in Å follow each position.
Atoms (fractional coordinates):
Rb 0.0515 0.0515 0.6985  8 S 3.48-3.68
Rb 0.3015 0.3015 0.9485  8 S 3.48-3.68
Rb 0.6985 0.6985 0.0515  8 S 3.48-3.68
Rb 0.9485 0.9485 0.3015  8 S 3.48-3.68
V 0.1250 0.1250 0.1250  4 S 2.20
V 0.8750 0.8750 0.8750  4 S 2.20
Co 0.3750 0.3750 0.3750  4 S 2.23
Co 0.6250 0.6250 0.6250  4 S 2.23
S 0.0227 0.3292 0.4111  1 V 2.20, 1 Co 2.23
S 0.2630 0.5889 0.6708  1 V 2.20, 1 Co 2.23
S 0.3292 0.0227 0.7370  1 V 2.20, 1 Co 2.23
S 0.4111 0.7370 0.0227  1 V 2.20, 1 Co 2.23
S 0.5889 0.2630 0.9773  1 V 2.20, 1 Co 2.23
S 0.6708 0.9773 0.2630  1 V 2.20, 1 Co 2.23
S 0.7370 0.4111 0.3292  1 V 2.20, 1 Co 2.23
S 0.9773 0.6708 0.5889  1 V 2.20, 1 Co 2.23